Entry 1:
DFT (GGA-PBE) results for a relaxed Sr11Cd9Pd4 crystal.

Output
The calculation puts the calculated volume at 30.6 Å³/atom. Its density of states at the Fermi level is 0.6482 states/eV/atom. Its energy relative to the elements is -416 meV per atom. Its symmetry is Cmmm.

Geometry as POSCAR:
```
Sr11Cd9Pd4
1.0
-0.381 -1.689 -3.827
12.577 -5.389 1.125
-9.699 -8.496 4.715
Sr Cd Pd
11 9 4
Direct
0.000 0.306 0.306
0.000 0.831 0.169
0.000 0.372 0.628
0.000 0.694 0.694
0.000 0.412 0.074
0.000 0.926 0.588
0.000 0.628 0.372
0.000 0.000 0.000
0.000 0.588 0.926
0.000 0.169 0.831
0.000 0.074 0.412
0.500 0.835 0.375
0.500 0.375 0.835
0.500 0.920 0.780
0.500 0.080 0.220
0.500 0.500 0.500
0.500 0.780 0.920
0.500 0.625 0.165
0.500 0.165 0.625
0.500 0.220 0.080
0.500 0.551 0.751
0.500 0.249 0.449
0.500 0.449 0.249
0.500 0.751 0.551
```

---

Entry 2:
DFT (GGA-PBE) results for a relaxed SrCd3Pd3 crystal.

Output
The calculation puts the calculated volume at 28.6 Å³/atom. Its density of states at the Fermi level is 0.4420 states/eV/atom. Its energy relative to the elements is -26 meV per atom. Its symmetry is Pm-3n.

Geometry as POSCAR:
```
SrCd3Pd3
1.0
7.374 0.000 0.000
0.000 7.374 0.000
0.000 0.000 7.374
Pd Cd Sr
6 6 2
Direct
0.250 0.500 0.000
0.500 0.000 0.250
0.500 0.000 0.750
0.000 0.250 0.500
0.000 0.750 0.500
0.750 0.500 0.000
0.750 0.000 0.500
0.500 0.250 0.000
0.500 0.750 0.000
0.000 0.500 0.250
0.250 0.000 0.500
0.000 0.500 0.750
0.500 0.500 0.500
0.000 0.000 0.000
```

---

Entry 3:
DFT (GGA-PBE) results for a relaxed Sr2Cd3Pd2 crystal.

Output
The calculation puts the calculated volume at 25.0 Å³/atom. Its density of states at the Fermi level is 0.4616 states/eV/atom. Its energy relative to the elements is -515 meV per atom. Its symmetry is C2/m.

Geometry as POSCAR:
```
Sr2Cd3Pd2
1.0
-2.944 -3.304 -0.850
4.803 -1.916 2.762
-5.036 3.197 5.010
Pd Cd Sr
2 3 2
Direct
0.138 0.275 0.202
0.862 0.725 0.798
0.363 0.726 0.560
0.637 0.274 0.440
0.500 0.000 0.000
0.859 0.719 0.225
0.141 0.281 0.775
```

---

Entry 4:
DFT (GGA-PBE) results for a relaxed SrCd2Pd6 crystal.

Output
The calculation puts the calculated volume at 22.7 Å³/atom. Its density of states at the Fermi level is 0.4472 states/eV/atom. Its energy relative to the elements is 107 meV per atom. Its symmetry is Fd-3m.

Geometry as POSCAR:
```
SrCd2Pd6
1.0
8.324 0.000 0.000
4.162 7.209 0.000
4.162 2.403 6.796
Pd Sr Cd
12 2 4
Direct
0.263 0.737 0.263
0.513 0.987 0.987
0.737 0.263 0.263
0.263 0.737 0.737
0.513 0.987 0.513
0.987 0.513 0.513
0.263 0.263 0.737
0.737 0.263 0.737
0.987 0.987 0.513
0.987 0.513 0.987
0.737 0.737 0.263
0.513 0.513 0.987
0.750 0.750 0.750
0.500 0.500 0.500
0.625 0.125 0.125
0.125 0.125 0.625
0.125 0.125 0.125
0.125 0.625 0.125
```

---

Question: energy relative to the elements of number 1 (Sr11Cd9Pd4)?
Answer: -416 meV per atom

---

Question: Which value of energy relative to the elements does entry 4 give?
Answer: 107 meV per atom